[1]
# NbHIr2Ru | the Alexandria database | PBE-GGA | optimized geometry
# Raw total energy in eV per cell: -42.11
# Volume in Å³/cell: 62.4
# Energy relative to the lowest polymorph listed for this composition in eV per atom: 0.000
data_NbHIr2Ru
_cell_length_a 3.943
_cell_length_b 3.943
_cell_length_c 4.012
_cell_angle_alpha 90.00
_cell_angle_beta 90.00
_cell_angle_gamma 90.00
_space_group_name_H-M_alt 'P 4/m m m'
_space_group_IT_number 123
_space_group_name_Hall '-P 4 2'
loop_
_atom_site_label
_atom_site_type_symbol
_atom_site_fract_x
_atom_site_fract_y
_atom_site_fract_z
_atom_site_occupancy
Nb1 Nb 0.000 0.000 0.000 1
H1 H 0.500 0.500 0.500 1
Ir1 Ir 0.000 0.500 0.500 1
Ru1 Ru 0.500 0.500 0.000 1

=====

[2]
# NbHIr2Ru | the Alexandria database | PBE-GGA | optimized geometry
# Raw total energy in eV per cell: -41.73
# Volume in Å³/cell: 62.6
# Energy relative to the lowest polymorph listed for this composition in eV per atom: 0.077
data_NbHIr2Ru
_cell_length_a 3.907
_cell_length_b 3.907
_cell_length_c 4.103
_cell_angle_alpha 90.00
_cell_angle_beta 90.00
_cell_angle_gamma 90.00
_space_group_name_H-M_alt 'P 4/m m m'
_space_group_IT_number 123
_space_group_name_Hall '-P 4 2'
loop_
_atom_site_label
_atom_site_type_symbol
_atom_site_fract_x
_atom_site_fract_y
_atom_site_fract_z
_atom_site_occupancy
Nb1 Nb 0.000 0.000 0.000 1
H1 H 0.000 0.000 0.500 1
Ir1 Ir 0.000 0.500 0.500 1
Ru1 Ru 0.500 0.500 0.000 1

=====

[3]
# Nb2HIrRu | the Alexandria database | PBE-GGA | optimized geometry
# Raw total energy in eV per cell: -43.17
# Volume in Å³/cell: 66.4
# Energy relative to the lowest polymorph listed for this composition in eV per atom: 0.000
data_Nb2HIrRu
_cell_length_a 4.152
_cell_length_b 4.152
_cell_length_c 3.850
_cell_angle_alpha 90.00
_cell_angle_beta 90.00
_cell_angle_gamma 90.00
_space_group_name_H-M_alt 'P 4/m m m'
_space_group_IT_number 123
_space_group_name_Hall '-P 4 2'
loop_
_atom_site_label
_atom_site_type_symbol
_atom_site_fract_x
_atom_site_fract_y
_atom_site_fract_z
_atom_site_occupancy
Nb1 Nb 0.000 0.500 0.000 1
H1 H 0.000 0.000 0.000 1
Ir1 Ir 0.500 0.500 0.500 1
Ru1 Ru 0.000 0.000 0.500 1

=====

[4]
# Nb2HIrRu | the Alexandria database | PBE-GGA | optimized geometry
# Raw total energy in eV per cell: -42.91
# Volume in Å³/cell: 66.6
# Energy relative to the lowest polymorph listed for this composition in eV per atom: 0.051
data_Nb2HIrRu
_cell_length_a 4.151
_cell_length_b 4.151
_cell_length_c 3.865
_cell_angle_alpha 90.00
_cell_angle_beta 90.00
_cell_angle_gamma 90.00
_space_group_name_H-M_alt 'P 4/m m m'
_space_group_IT_number 123
_space_group_name_Hall '-P 4 2'
loop_
_atom_site_label
_atom_site_type_symbol
_atom_site_fract_x
_atom_site_fract_y
_atom_site_fract_z
_atom_site_occupancy
Nb1 Nb 0.000 0.500 0.000 1
H1 H 0.000 0.000 0.000 1
Ir1 Ir 0.000 0.000 0.500 1
Ru1 Ru 0.500 0.500 0.500 1

=====

[5]
# NbH2IrS | the Alexandria database | PBE-GGA | optimized geometry
# Raw total energy in eV per cell: -29.80
# Volume in Å³/cell: 64.0
data_NbH2IrS
_cell_length_a 3.495
_cell_length_b 3.495
_cell_length_c 5.238
_cell_angle_alpha 90.00
_cell_angle_beta 90.00
_cell_angle_gamma 90.00
_space_group_name_H-M_alt 'P 4/m m m'
_space_group_IT_number 123
_space_group_name_Hall '-P 4 2'
loop_
_atom_site_label
_atom_site_type_symbol
_atom_site_fract_x
_atom_site_fract_y
_atom_site_fract_z
_atom_site_occupancy
Nb1 Nb 0.000 0.000 0.000 1
H1 H 0.000 0.500 0.500 1
Ir1 Ir 0.000 0.000 0.500 1
S1 S 0.500 0.500 0.000 1

=====

[6]
# ScNbHIr2 | the Alexandria database | PBE-GGA | optimized geometry
# Raw total energy in eV per cell: -39.27
# Volume in Å³/cell: 68.3
data_ScNbHIr2
_cell_length_a 4.117
_cell_length_b 4.117
_cell_length_c 4.029
_cell_angle_alpha 90.00
_cell_angle_beta 90.00
_cell_angle_gamma 90.00
_space_group_name_H-M_alt 'P 4/m m m'
_space_group_IT_number 123
_space_group_name_Hall '-P 4 2'
loop_
_atom_site_label
_atom_site_type_symbol
_atom_site_fract_x
_atom_site_fract_y
_atom_site_fract_z
_atom_site_occupancy
Sc1 Sc 0.000 0.000 0.000 1
Nb1 Nb 0.500 0.500 0.000 1
H1 H 0.500 0.500 0.500 1
Ir1 Ir 0.000 0.500 0.500 1

=====

[7]
# NbSn2HIr | the Alexandria database | PBE-GGA | optimized geometry
# Raw total energy in eV per cell: -30.01
# Volume in Å³/cell: 79.3
data_NbSn2HIr
_cell_length_a 4.753
_cell_length_b 4.753
_cell_length_c 3.508
_cell_angle_alpha 90.00
_cell_angle_beta 90.00
_cell_angle_gamma 90.00
_space_group_name_H-M_alt 'P 4/m m m'
_space_group_IT_number 123
_space_group_name_Hall '-P 4 2'
loop_
_atom_site_label
_atom_site_type_symbol
_atom_site_fract_x
_atom_site_fract_y
_atom_site_fract_z
_atom_site_occupancy
Nb1 Nb 0.000 0.000 0.000 1
Sn1 Sn 0.000 0.500 0.500 1
H1 H 0.500 0.500 0.500 1
Ir1 Ir 0.500 0.500 0.000 1

=====

[8]
# Sr2NbHIr | the Alexandria database | PBE-GGA | optimized geometry
# Raw total energy in eV per cell: -22.72
# Volume in Å³/cell: 172.4
data_Sr2NbHIr
_cell_length_a 5.998
_cell_length_b 5.998
_cell_length_c 4.792
_cell_angle_alpha 90.00
_cell_angle_beta 90.00
_cell_angle_gamma 90.00
_space_group_name_H-M_alt 'P 4/m m m'
_space_group_IT_number 123
_space_group_name_Hall '-P 4 2'
loop_
_atom_site_label
_atom_site_type_symbol
_atom_site_fract_x
_atom_site_fract_y
_atom_site_fract_z
_atom_site_occupancy
Sr1 Sr 0.000 0.500 0.000 1
Nb1 Nb 0.000 0.000 0.500 1
H1 H 0.500 0.500 0.500 1
Ir1 Ir 0.000 0.000 0.000 1

=====

[9]
# TaNbHIr2 | the Alexandria database | PBE-GGA | optimized geometry
# Raw total energy in eV per cell: -44.86
# Volume in Å³/cell: 66.4
# Energy relative to the lowest polymorph listed for this composition in eV per atom: 0.000
data_TaNbHIr2
_cell_length_a 4.022
_cell_length_b 4.022
_cell_length_c 4.108
_cell_angle_alpha 90.00
_cell_angle_beta 90.00
_cell_angle_gamma 90.00
_space_group_name_H-M_alt 'P 4/m m m'
_space_group_IT_number 123
_space_group_name_Hall '-P 4 2'
loop_
_atom_site_label
_atom_site_type_symbol
_atom_site_fract_x
_atom_site_fract_y
_atom_site_fract_z
_atom_site_occupancy
Ta1 Ta 0.000 0.000 0.000 1
Nb1 Nb 0.500 0.500 0.000 1
H1 H 0.500 0.500 0.500 1
Ir1 Ir 0.000 0.500 0.500 1

=====

[10]
# TaNbHIr2 | the Alexandria database | PBE-GGA | optimized geometry
# Raw total energy in eV per cell: -44.80
# Volume in Å³/cell: 66.5
# Energy relative to the lowest polymorph listed for this composition in eV per atom: 0.013
data_TaNbHIr2
_cell_length_a 4.022
_cell_length_b 4.022
_cell_length_c 4.110
_cell_angle_alpha 90.00
_cell_angle_beta 90.00
_cell_angle_gamma 90.00
_space_group_name_H-M_alt 'P 4/m m m'
_space_group_IT_number 123
_space_group_name_Hall '-P 4 2'
loop_
_atom_site_label
_atom_site_type_symbol
_atom_site_fract_x
_atom_site_fract_y
_atom_site_fract_z
_atom_site_occupancy
Ta1 Ta 0.000 0.000 0.000 1
Nb1 Nb 0.500 0.500 0.000 1
H1 H 0.000 0.000 0.500 1
Ir1 Ir 0.000 0.500 0.500 1

=====

[11]
# Nb2TcHIr | the Alexandria database | PBE-GGA | optimized geometry
# Raw total energy in eV per cell: -43.89
# Volume in Å³/cell: 67.4
# Energy relative to the lowest polymorph listed for this composition in eV per atom: 0.000
data_Nb2TcHIr
_cell_length_a 4.204
_cell_length_b 4.204
_cell_length_c 3.814
_cell_angle_alpha 90.00
_cell_angle_beta 90.00
_cell_angle_gamma 90.00
_space_group_name_H-M_alt 'P 4/m m m'
_space_group_IT_number 123
_space_group_name_Hall '-P 4 2'
loop_
_atom_site_label
_atom_site_type_symbol
_atom_site_fract_x
_atom_site_fract_y
_atom_site_fract_z
_atom_site_occupancy
Nb1 Nb 0.000 0.500 0.000 1
Tc1 Tc 0.000 0.000 0.500 1
H1 H 0.000 0.000 0.000 1
Ir1 Ir 0.500 0.500 0.500 1

=====

[12]
# NbTc2HIr | the Alexandria database | PBE-GGA | optimized geometry
# Raw total energy in eV per cell: -43.97
# Volume in Å³/cell: 63.4
# Energy relative to the lowest polymorph listed for this composition in eV per atom: 0.000
data_NbTc2HIr
_cell_length_a 3.941
_cell_length_b 3.941
_cell_length_c 4.079
_cell_angle_alpha 90.00
_cell_angle_beta 90.00
_cell_angle_gamma 90.00
_space_group_name_H-M_alt 'P 4/m m m'
_space_group_IT_number 123
_space_group_name_Hall '-P 4 2'
loop_
_atom_site_label
_atom_site_type_symbol
_atom_site_fract_x
_atom_site_fract_y
_atom_site_fract_z
_atom_site_occupancy
Nb1 Nb 0.000 0.000 0.000 1
Tc1 Tc 0.000 0.500 0.500 1
H1 H 0.000 0.000 0.500 1
Ir1 Ir 0.500 0.500 0.000 1

=====

[13]
# NbTc2HIr | the Alexandria database | PBE-GGA | optimized geometry
# Raw total energy in eV per cell: -43.84
# Volume in Å³/cell: 63.4
# Energy relative to the lowest polymorph listed for this composition in eV per atom: 0.026
data_NbTc2HIr
_cell_length_a 3.980
_cell_length_b 3.980
_cell_length_c 4.004
_cell_angle_alpha 90.00
_cell_angle_beta 90.00
_cell_angle_gamma 90.00
_space_group_name_H-M_alt 'P 4/m m m'
_space_group_IT_number 123
_space_group_name_Hall '-P 4 2'
loop_
_atom_site_label
_atom_site_type_symbol
_atom_site_fract_x
_atom_site_fract_y
_atom_site_fract_z
_atom_site_occupancy
Nb1 Nb 0.000 0.000 0.000 1
Tc1 Tc 0.000 0.500 0.500 1
H1 H 0.500 0.500 0.500 1
Ir1 Ir 0.500 0.500 0.000 1

=====

[14]
# Nb2TcHIr | the Alexandria database | PBE-GGA | optimized geometry
# Raw total energy in eV per cell: -43.73
# Volume in Å³/cell: 67.8
# Energy relative to the lowest polymorph listed for this composition in eV per atom: 0.032
data_Nb2TcHIr
_cell_length_a 4.281
_cell_length_b 4.281
_cell_length_c 3.700
_cell_angle_alpha 90.00
_cell_angle_beta 90.00
_cell_angle_gamma 90.00
_space_group_name_H-M_alt 'P 4/m m m'
_space_group_IT_number 123
_space_group_name_Hall '-P 4 2'
loop_
_atom_site_label
_atom_site_type_symbol
_atom_site_fract_x
_atom_site_fract_y
_atom_site_fract_z
_atom_site_occupancy
Nb1 Nb 0.000 0.500 0.000 1
Tc1 Tc 0.000 0.000 0.500 1
H1 H 0.500 0.500 0.000 1
Ir1 Ir 0.500 0.500 0.500 1

=====

[15]
# Ti2NbHIr | the Alexandria database | PBE-GGA | optimized geometry
# Raw total energy in eV per cell: -39.87
# Volume in Å³/cell: 67.5
# Energy relative to the lowest polymorph listed for this composition in eV per atom: 0.043
data_Ti2NbHIr
_cell_length_a 4.408
_cell_length_b 4.408
_cell_length_c 3.476
_cell_angle_alpha 90.00
_cell_angle_beta 90.00
_cell_angle_gamma 90.00
_space_group_name_H-M_alt 'P 4/m m m'
_space_group_IT_number 123
_space_group_name_Hall '-P 4 2'
loop_
_atom_site_label
_atom_site_type_symbol
_atom_site_fract_x
_atom_site_fract_y
_atom_site_fract_z
_atom_site_occupancy
Ti1 Ti 0.000 0.500 0.000 1
Nb1 Nb 0.000 0.000 0.500 1
H1 H 0.500 0.500 0.000 1
Ir1 Ir 0.500 0.500 0.500 1

=====

[16]
# Ti2NbHIr | the Alexandria database | PBE-GGA | optimized geometry
# Raw total energy in eV per cell: -40.09
# Volume in Å³/cell: 67.1
# Energy relative to the lowest polymorph listed for this composition in eV per atom: 0.000
data_Ti2NbHIr
_cell_length_a 4.309
_cell_length_b 4.309
_cell_length_c 3.611
_cell_angle_alpha 90.00
_cell_angle_beta 90.00
_cell_angle_gamma 90.00
_space_group_name_H-M_alt 'P 4/m m m'
_space_group_IT_number 123
_space_group_name_Hall '-P 4 2'
loop_
_atom_site_label
_atom_site_type_symbol
_atom_site_fract_x
_atom_site_fract_y
_atom_site_fract_z
_atom_site_occupancy
Ti1 Ti 0.000 0.500 0.000 1
Nb1 Nb 0.000 0.000 0.500 1
H1 H 0.000 0.000 0.000 1
Ir1 Ir 0.500 0.500 0.500 1

=====

[17]
# TiNb2HIr | the Alexandria database | PBE-GGA | optimized geometry
# Raw total energy in eV per cell: -41.63
# Volume in Å³/cell: 69.6
data_TiNb2HIr
_cell_length_a 3.976
_cell_length_b 3.976
_cell_length_c 4.404
_cell_angle_alpha 90.00
_cell_angle_beta 90.00
_cell_angle_gamma 90.00
_space_group_name_H-M_alt 'P 4/m m m'
_space_group_IT_number 123
_space_group_name_Hall '-P 4 2'
loop_
_atom_site_label
_atom_site_type_symbol
_atom_site_fract_x
_atom_site_fract_y
_atom_site_fract_z
_atom_site_occupancy
Ti1 Ti 0.000 0.000 0.000 1
Nb1 Nb 0.000 0.500 0.500 1
H1 H 0.000 0.000 0.500 1
Ir1 Ir 0.500 0.500 0.000 1

=====

[18]
# Nb2VHIr | the Alexandria database | PBE-GGA | optimized geometry
# Raw total energy in eV per cell: -42.61
# Volume in Å³/cell: 66.7
# Energy relative to the lowest polymorph listed for this composition in eV per atom: 0.000
data_Nb2VHIr
_cell_length_a 4.363
_cell_length_b 4.363
_cell_length_c 3.504
_cell_angle_alpha 90.00
_cell_angle_beta 90.00
_cell_angle_gamma 90.00
_space_group_name_H-M_alt 'P 4/m m m'
_space_group_IT_number 123
_space_group_name_Hall '-P 4 2'
loop_
_atom_site_label
_atom_site_type_symbol
_atom_site_fract_x
_atom_site_fract_y
_atom_site_fract_z
_atom_site_occupancy
Nb1 Nb 0.000 0.500 0.000 1
V1 V 0.000 0.000 0.500 1
H1 H 0.000 0.000 0.000 1
Ir1 Ir 0.500 0.500 0.500 1

=====

[19]
# NbVHIr2 | the Alexandria database | PBE-GGA | optimized geometry
# Raw total energy in eV per cell: -41.97
# Volume in Å³/cell: 62.3
# Energy relative to the lowest polymorph listed for this composition in eV per atom: 0.000
data_NbVHIr2
_cell_length_a 3.957
_cell_length_b 3.957
_cell_length_c 3.977
_cell_angle_alpha 90.00
_cell_angle_beta 90.00
_cell_angle_gamma 90.00
_space_group_name_H-M_alt 'P 4/m m m'
_space_group_IT_number 123
_space_group_name_Hall '-P 4 2'
loop_
_atom_site_label
_atom_site_type_symbol
_atom_site_fract_x
_atom_site_fract_y
_atom_site_fract_z
_atom_site_occupancy
Nb1 Nb 0.000 0.000 0.000 1
V1 V 0.500 0.500 0.000 1
H1 H 0.500 0.500 0.500 1
Ir1 Ir 0.000 0.500 0.500 1

=====

[20]
# Nb2VHIr | the Alexandria database | PBE-GGA | optimized geometry
# Raw total energy in eV per cell: -42.27
# Volume in Å³/cell: 67.7
# Energy relative to the lowest polymorph listed for this composition in eV per atom: 0.069
data_Nb2VHIr
_cell_length_a 4.331
_cell_length_b 4.331
_cell_length_c 3.610
_cell_angle_alpha 90.00
_cell_angle_beta 90.00
_cell_angle_gamma 90.00
_space_group_name_H-M_alt 'P 4/m m m'
_space_group_IT_number 123
_space_group_name_Hall '-P 4 2'
loop_
_atom_site_label
_atom_site_type_symbol
_atom_site_fract_x
_atom_site_fract_y
_atom_site_fract_z
_atom_site_occupancy
Nb1 Nb 0.000 0.500 0.000 1
V1 V 0.000 0.000 0.500 1
H1 H 0.500 0.500 0.000 1
Ir1 Ir 0.500 0.500 0.500 1